(1)
# CaInMo2

A geometry-optimized CaInMo2 structure (PBE, the Alexandria database).

Output
symmetry	P4/mmm
calculated formation energy	0.5272	eV/atom
crystal system	tetragonal

abc: 3.6869 3.6869 6.6277
angles: 90.00 90.00 90.00
With the nearest neighbours (Å) after each atom.
Sites, in units of the cell vectors:
Mo 0.0000 0.0000 0.9223  1 Mo 2.28
Mo 0.0000 0.0000 0.5777  1 Mo 2.28
Ca 0.5000 0.5000 0.2500  2 In 3.31, 8 Mo 3.39, 4 Ca 3.69
In 0.5000 0.5000 0.7500  8 Mo 2.85

***

(2)
# MgH2S

A geometry-optimized MgH2S structure (PBE, the Alexandria database).

Output
energy	-2.84	eV per atom
symmetry	Fm-3m
crystal system	cubic

abc: 3.8107 3.8107 3.8107
angles: 60.00 60.00 60.00
With the nearest neighbours (Å) after each atom.
Sites, in units of the cell vectors:
H 0.2500 0.2500 0.2500  4 S 2.33, 4 Mg 2.33
H 0.7500 0.7500 0.7500  4 S 2.33, 4 Mg 2.33
S 0.5000 0.5000 0.5000  8 H 2.33
Mg 0.0000 0.0000 0.0000  8 H 2.33

***

(3)
# ZnTe2Rh

A geometry-optimized ZnTe2Rh structure (PBE, the Alexandria database).

Output
uncorrected formation energy	-0.185	eV per atom
symmetry	P2/m
crystal system	monoclinic

abc: 3.9925 5.6824 6.0377
angles: 50.42 90.00 90.00
With the nearest neighbours (Å) after each atom.
Sites, in units of the cell vectors:
Rh 0.5000 0.7500 0.7500  2 Zn 2.50, 4 Te 2.63
Te 0.0000 0.9083 0.9141  2 Rh 2.63
Te 0.0000 0.5917 0.5859  2 Rh 2.63
Zn 0.5000 0.2500 0.2500  2 Rh 2.50

***

The calculation returns the following DOS at the Fermi energy values, one per record and in order: 4.197, 0.514, 1.793 states/eV/cell.